# 1
Material: Y2MgFe
Method: DFT, GGA-PBEsol
State: optimized geometry

a b c (Å): 5.6167 5.6167 5.6167
angles (deg): 134.32 134.32 66.58
With the nearest neighbours (Å) after each atom.
Element x y z (fractional)
Y1 0.0000 0.0000 0.0000  4 Fe 3.08, 4 Mg 3.20, 4 Y 3.20
Y2 0.7500 0.2500 0.5000  4 Mg 3.08, 4 Fe 3.20, 4 Y 3.20
Mg1 0.2500 0.7500 0.5000  8 Y 3.08-3.20, 4 Fe 3.20
Fe1 0.5000 0.5000 0.0000  8 Y 3.08-3.20, 4 Mg 3.20

Output
symmetry: I-4m2
ΔH_f (0 K): 0.29 eV/atom
N(E_F): 1.220 states/eV/atom
magnetization: 1.4 μB/f.u.

# 2
Material: Y2MgFe
Method: DFT, GGA-PBEsol
State: optimized geometry

a b c (Å): 3.3042 3.3042 8.2263
angles (deg): 90.00 90.00 90.00
With the nearest neighbours (Å) after each atom.
Element x y z (fractional)
Y1 0.0000 0.0000 0.1938  4 Fe 2.83
Y2 0.0000 0.0000 0.8062  4 Fe 2.83
Mg1 0.5000 0.5000 0.5000  4 Mg 3.30, 8 Y 3.44
Fe1 0.5000 0.5000 0.0000  8 Y 2.83

Output
symmetry: P4/mmm
ΔH_f (0 K): 0.01 eV/atom
N(E_F): 0.723 states/eV/atom
magnetization: 0.0 μB/f.u.

# 3
Material: MgZnFe2
Method: DFT, GGA-PBEsol
State: optimized geometry

a b c (Å): 4.5303 4.5303 4.5303
angles (deg): 130.71 130.71 72.27
With the nearest neighbours (Å) after each atom.
Element x y z (fractional)
Mg1 0.0000 0.0000 0.0000  4 Zn 2.63, 8 Fe 2.63-2.67
Zn1 0.7500 0.2500 0.5000  8 Fe 2.63-2.67, 4 Mg 2.63
Fe1 0.2500 0.7500 0.5000  4 Fe 2.63, 4 Mg 2.63, 4 Zn 2.67
Fe2 0.5000 0.5000 0.0000  4 Zn 2.63, 4 Fe 2.63, 4 Mg 2.67

Output
symmetry: I-4m2
ΔH_f (0 K): 0.19 eV/atom
N(E_F): 0.695 states/eV/atom
magnetization: 4.5 μB/f.u.

# 4
Material: MgZn2Fe
Method: DFT, GGA-PBEsol
State: optimized geometry

a b c (Å): 5.1404 5.1404 5.1404
angles (deg): 146.56 130.02 61.48
With the nearest neighbours (Å) after each atom.
Element x y z (fractional)
Mg1 0.0000 0.0000 0.0000  4 Fe 2.63, 4 Zn 2.82
Zn1 0.2722 0.7722 0.5000  2 Fe 2.50, 4 Zn 2.66
Zn2 0.7278 0.2278 0.5000  2 Fe 2.50, 4 Zn 2.66
Fe1 0.5000 0.5000 0.0000  4 Zn 2.50, 4 Mg 2.63

Output
symmetry: Immm
ΔH_f (0 K): 0.12 eV/atom
N(E_F): 0.644 states/eV/atom
magnetization: 1.8 μB/f.u.

# 5
Material: MgZnFe2
Method: DFT, GGA-PBEsol
State: optimized geometry

a b c (Å): 2.6032 3.9757 5.2626
angles (deg): 90.00 104.30 90.00
With the nearest neighbours (Å) after each atom.
Element x y z (fractional)
Mg1 0.0000 0.0000 0.0000  6 Fe 2.58-2.83, 2 Mg 2.60, 4 Zn 2.71-2.88
Zn1 0.7143 0.5000 0.2862  3 Fe 2.47-2.55, 2 Zn 2.60, 2 Mg 2.71
Fe1 0.2874 0.5000 0.7373  4 Fe 2.36-2.60, 1 Zn 2.47, 2 Mg 2.63
Fe2 0.4325 0.0000 0.5232  4 Fe 2.36-2.60, 2 Zn 2.55, 1 Mg 2.58

Output
symmetry: Pm
ΔH_f (0 K): 0.15 eV/atom
N(E_F): 0.511 states/eV/atom
magnetization: 4.2 μB/f.u.

# 6
Material: MgZn2Fe
Method: DFT, GGA-PBEsol
State: optimized geometry

a b c (Å): 3.8462 3.8462 3.7429
angles (deg): 90.00 90.00 90.00
With the nearest neighbours (Å) after each atom.
Element x y z (fractional)
Mg1 0.0000 0.0000 0.0000  8 Zn 2.68, 4 Fe 2.72
Zn1 0.0000 0.5000 0.5000  4 Fe 2.68, 4 Mg 2.68, 4 Zn 2.72
Zn2 0.5000 0.0000 0.5000  4 Fe 2.68, 4 Mg 2.68, 4 Zn 2.72
Fe1 0.5000 0.5000 0.0000  8 Zn 2.68, 4 Mg 2.72

Output
symmetry: P4/mmm
ΔH_f (0 K): 0.05 eV/atom
N(E_F): 0.417 states/eV/atom
magnetization: 2.0 μB/f.u.

# 7
Material: MgZn2Fe
Method: DFT, GGA-PBEsol
State: optimized geometry

a b c (Å): 2.8116 2.8116 7.2564
angles (deg): 90.00 90.00 90.00
With the nearest neighbours (Å) after each atom.
Element x y z (fractional)
Mg1 0.0000 0.0000 0.0000  4 Fe 2.73, 4 Mg 2.81, 4 Zn 2.87
Zn1 0.0000 0.0000 0.4767  4 Fe 2.54, 8 Zn 2.63-2.81
Zn2 0.5000 0.5000 0.7150  8 Zn 2.63-2.81, 4 Mg 2.87
Fe1 0.5000 0.5000 0.2586  4 Zn 2.54, 4 Mg 2.73, 4 Fe 2.81

Output
symmetry: P4mm
ΔH_f (0 K): 0.09 eV/atom
N(E_F): 0.508 states/eV/atom
magnetization: 2.4 μB/f.u.

# 8
Material: Mg2ZnFe
Method: DFT, GGA-PBEsol
State: optimized geometry

a b c (Å): 4.8203 4.8203 4.8203
angles (deg): 130.98 130.98 71.84
With the nearest neighbours (Å) after each atom.
Element x y z (fractional)
Mg1 0.2500 0.7500 0.5000  4 Fe 2.79, 4 Zn 2.79, 4 Mg 2.83
Mg2 0.7500 0.2500 0.5000  4 Fe 2.79, 4 Zn 2.79, 4 Mg 2.83
Zn1 0.0000 0.0000 0.0000  8 Mg 2.79, 4 Fe 2.83
Fe1 0.5000 0.5000 0.0000  8 Mg 2.79, 4 Zn 2.83

Output
symmetry: I4/mmm
ΔH_f (0 K): 0.23 eV/atom
N(E_F): 1.135 states/eV/atom
magnetization: 2.0 μB/f.u.

# 9
Material: MgZnFe2
Method: DFT, GGA-PBEsol
State: optimized geometry

a b c (Å): 2.8887 2.8887 6.3983
angles (deg): 90.00 90.00 90.00
With the nearest neighbours (Å) after each atom.
Element x y z (fractional)
Mg1 0.0000 0.0000 0.0000  5 Fe 2.72-2.90, 4 Zn 2.84, 4 Mg 2.89
Zn1 0.5000 0.5000 0.3088  5 Fe 2.55-2.63, 4 Mg 2.84
Fe1 0.0000 0.0000 0.5474  4 Fe 2.32, 4 Zn 2.55
Fe2 0.5000 0.5000 0.7194  4 Fe 2.32

Output
symmetry: P4mm
ΔH_f (0 K): 0.10 eV/atom
N(E_F): 0.890 states/eV/atom
magnetization: 3.2 μB/f.u.

# 10
Material: Mg2ZnFe
Method: DFT, GGA-PBEsol
State: optimized geometry

a b c (Å): 4.4487 4.4487 4.4487
angles (deg): 60.00 60.00 60.00
With the nearest neighbours (Å) after each atom.
Element x y z (fractional)
Mg1 0.0000 0.0000 0.0000  4 Fe 2.72, 4 Mg 2.72
Mg2 0.2500 0.2500 0.2500  4 Zn 2.72, 4 Mg 2.72
Zn1 0.5000 0.5000 0.5000  4 Fe 2.72, 4 Mg 2.72
Fe1 0.7500 0.7500 0.7500  4 Mg 2.72, 4 Zn 2.72

Output
symmetry: F-43m
ΔH_f (0 K): 0.24 eV/atom
N(E_F): 1.426 states/eV/atom
magnetization: 2.3 μB/f.u.

# 11
Material: MgZn2Fe
Method: DFT, GGA-PBEsol
State: optimized geometry

a b c (Å): 2.7292 4.1204 5.2310
angles (deg): 90.00 104.70 90.00
With the nearest neighbours (Å) after each atom.
Element x y z (fractional)
Mg1 0.0000 0.0000 0.0000  5 Zn 2.51-2.73, 2 Mg 2.73
Zn1 0.6130 0.5000 0.2293  4 Zn 2.49-2.73, 3 Fe 2.67-2.76, 4 Mg 2.73
Zn2 0.7459 0.0000 0.5041  4 Zn 2.49-2.73, 1 Mg 2.51, 4 Fe 2.66-2.67
Fe1 0.3466 0.5000 0.7013  7 Zn 2.66-2.76, 2 Fe 2.73, 4 Mg 2.89-2.91

Output
symmetry: Pm
ΔH_f (0 K): 0.10 eV/atom
N(E_F): 0.606 states/eV/atom
magnetization: 2.3 μB/f.u.

# 12
Material: MgZrFe
Method: DFT, GGA-PBEsol
State: optimized geometry

a b c (Å): 5.7758 5.7758 5.7758
angles (deg): 148.53 148.53 45.10
With the nearest neighbours (Å) after each atom.
Element x y z (fractional)
Mg1 0.0000 0.0000 0.0000  4 Fe 2.76, 1 Zr 2.94
Zr1 0.7244 0.7244 0.0000  4 Fe 2.56
Fe1 0.3453 0.3453 0.0000  4 Zr 2.56, 4 Mg 2.76

Output
symmetry: I4mm
ΔH_f (0 K): 0.05 eV/atom
N(E_F): 0.257 states/eV/atom
magnetization: 0.0 μB/f.u.

Among the records above, which one has the highest ΔH_f (0 K)?
number 1

Please write out number 4 again, unchanged.
Material: MgZn2Fe
Method: DFT, GGA-PBEsol
State: optimized geometry

a b c (Å): 5.1404 5.1404 5.1404
angles (deg): 146.56 130.02 61.48
With the nearest neighbours (Å) after each atom.
Element x y z (fractional)
Mg1 0.0000 0.0000 0.0000  4 Fe 2.63, 4 Zn 2.82
Zn1 0.2722 0.7722 0.5000  2 Fe 2.50, 4 Zn 2.66
Zn2 0.7278 0.2278 0.5000  2 Fe 2.50, 4 Zn 2.66
Fe1 0.5000 0.5000 0.0000  4 Zn 2.50, 4 Mg 2.63

Output
symmetry: Immm
ΔH_f (0 K): 0.12 eV/atom
N(E_F): 0.644 states/eV/atom
magnetization: 1.8 μB/f.u.